# HoZnGaPd3 | the Alexandria database | PBE-GGA | relaxed
# - uncorrected energy (eV per atom) = -4.65
data_HoZnGaPd3
_cell_length_a 5.665
_cell_length_b 13.199
_cell_length_c 5.723
_cell_angle_alpha 90.00
_cell_angle_beta 90.00
_cell_angle_gamma 90.00
_symmetry_space_group_name_H-M 'C m c m'
_symmetry_Int_Tables_number 63
_symmetry_space_group_name_Hall '-C 2c 2'
loop_
_atom_site_label
_atom_site_type_symbol
_atom_site_fract_x
_atom_site_fract_y
_atom_site_fract_z
Ho1 Ho 0.000 0.168 0.250
Zn1 Zn 0.000 0.383 0.250
Ga1 Ga 0.000 0.131 0.750
Pd1 Pd 0.000 0.325 0.750
Pd2 Pd 0.247 0.000 0.000

---

# ScTa2PtO | the Alexandria database | PBE-GGA | relaxed
# - formation energy (no corrections) (kJ/mol of formula units) = 432
# - uncorrected energy (eV per atom) = -7.31
data_ScTa2PtO
_cell_length_a 5.109
_cell_length_b 5.109
_cell_length_c 3.856
_cell_angle_alpha 90.00
_cell_angle_beta 90.00
_cell_angle_gamma 90.00
_symmetry_space_group_name_H-M 'P 4/m m m'
_symmetry_Int_Tables_number 123
_symmetry_space_group_name_Hall '-P 4 2'
loop_
_atom_site_label
_atom_site_type_symbol
_atom_site_fract_x
_atom_site_fract_y
_atom_site_fract_z
Sc1 Sc 0.000 0.000 0.000
Ta1 Ta 0.000 0.500 0.500
Pt1 Pt 0.500 0.500 0.500
O1 O 0.500 0.500 0.000

---

uncorrected energy of number 1 (HoZnGaPd3)? -4.65 eV per atom

---

Which formula does entry 1 have? HoZnGaPd3